Version w
VASP calculation (PBE) on a relaxed structure of Nd3Pd4Au2.

Lattice parameters (Å, degrees): 11.4222 10.3657 7.2050 90.00 104.75 90.00
Space group C2/c (No. 15)
Symmetry-distinct sites (fractional):
Nd (0.0000, 0.0887, 0.2500)
Nd (0.1433, 0.3802, 0.6365)
Pd (0.0945, 0.3500, 0.1696)
Pd (0.1828, 0.0878, 0.6019)
Au (0.1549, 0.1571, 0.9516)

***

Version x
VASP calculation (PBE) on a relaxed structure of Nd3Pd4Au2.

Lattice parameters (Å, degrees): 9.7531 4.7724 8.6793 90.00 100.61 90.00
Space group C2/m (No. 12)
Symmetry-distinct sites (fractional):
Nd (0.0000, 0.0000, 0.0000)
Nd (0.1160, 0.5000, 0.3753)
Pd (0.0826, 0.0000, 0.6435)
Pd (0.2049, 0.5000, 0.0737)
Au (0.2172, 0.5000, 0.7511)

***

Energetically preferred structure: version x | next structure: +70 meV per atom

***

Version w
VASP calculation (PBE) on a relaxed structure of Nd2Pd6Au.

Lattice parameters (Å, degrees): 9.9234 4.4577 8.4105 90.00 109.41 90.00
Space group C2/m (No. 12)
Symmetry-distinct sites (fractional):
Nd (0.0184, 0.0000, 0.2778)
Pd (0.1455, 0.5000, 0.5528)
Pd (0.2254, 0.0000, 0.0758)
Pd (0.2328, 0.5000, 0.2777)
Au (0.0000, 0.5000, 0.0000)

***

Version x
VASP calculation (PBE) on a relaxed structure of Nd2Pd6Au.

Lattice parameters (Å, degrees): 5.7346 5.7346 6.2151 90.00 90.00 120.00
Space group P-3m1 (No. 164)
Symmetry-distinct sites (fractional):
Nd (0.3333, 0.6667, 0.1727)
Pd (0.1751, 0.3503, 0.6720)
Au (0.0000, 0.0000, 0.0000)

***

Energetically preferred structure: version x | next structure: +8 meV per atom

***

Version w
VASP calculation (PBE) on a relaxed structure of Nd2PdAu3.

Lattice parameters (Å, degrees): 10.4533 4.1001 7.5799 90.00 121.87 90.00
Space group Cm (No. 8)
Symmetry-distinct sites (fractional):
Nd (0.0000, 0.0000, 0.0000)
Nd (0.0760, 0.0000, 0.5581)
Pd (0.3892, 0.0000, 0.6257)
Au (0.1880, 0.5000, 0.9317)
Au (0.2032, 0.5000, 0.3607)
Au (0.3756, 0.0000, 0.2100)

***

Version x
VASP calculation (PBE) on a relaxed structure of Nd2PdAu3.

Lattice parameters (Å, degrees): 3.6542 4.8486 7.9239 90.00 90.00 90.00
Space group Pmm2 (No. 25)
Symmetry-distinct sites (fractional):
Nd (0.0000, 0.0000, 0.0000)
Nd (0.0000, 0.5000, 0.4820)
Pd (0.5000, 0.0000, 0.3115)
Au (0.5000, 0.0000, 0.6531)
Au (0.5000, 0.5000, 0.1613)
Au (0.5000, 0.5000, 0.8157)

***

Energetically preferred structure: version w | next structure: +27 meV per atom

***

Version w
VASP calculation (PBE) on a relaxed structure of NdPuPdAu.

Lattice parameters (Å, degrees): 4.6162 3.9073 11.0406 90.00 90.00 90.00
Space group Amm2 (No. 38)
Symmetry-distinct sites (fractional):
Nd (0.0000, 0.0000, 0.0000)
Pu (0.5000, 0.0000, 0.7206)
Pd (0.0000, 0.0000, 0.2715)
Au (0.5000, 0.0000, 0.4403)

***

Version x
VASP calculation (PBE) on a relaxed structure of NdPuPdAu.

Lattice parameters (Å, degrees): 7.2653 7.2653 7.2653 90.00 90.00 90.00
Space group F-43m (No. 216)
Symmetry-distinct sites (fractional):
Nd (0.0000, 0.0000, 0.0000)
Pu (0.0000, 0.0000, 0.5000)
Pd (0.2500, 0.2500, 0.7500)
Au (0.2500, 0.2500, 0.2500)

***

Energetically preferred structure: version w | next structure: +46 meV per atom

***

Version w
VASP calculation (PBE) on a relaxed structure of NdSmPdAu.

Lattice parameters (Å, degrees): 7.3061 7.3061 7.3061 90.00 90.00 90.00
Space group F-43m (No. 216)
Symmetry-distinct sites (fractional):
Nd (0.0000, 0.0000, 0.0000)
Sm (0.0000, 0.0000, 0.5000)
Pd (0.2500, 0.2500, 0.7500)
Au (0.2500, 0.2500, 0.2500)

***

Version x
VASP calculation (PBE) on a relaxed structure of NdSmPdAu.

Lattice parameters (Å, degrees): 4.7476 3.8860 10.9299 90.00 90.00 90.00
Space group Amm2 (No. 38)
Symmetry-distinct sites (fractional):
Nd (0.0000, 0.0000, 0.0000)
Sm (0.5000, 0.0000, 0.7247)
Pd (0.0000, 0.0000, 0.2753)
Au (0.5000, 0.0000, 0.4448)

***

Energetically preferred structure: version x | next structure: +60 meV per atom

***

Version w
VASP calculation (PBE) on a relaxed structure of NdTmPdAu.

Lattice parameters (Å, degrees): 7.1914 7.1914 7.1914 90.00 90.00 90.00
Space group F-43m (No. 216)
Symmetry-distinct sites (fractional):
Nd (0.0000, 0.0000, 0.0000)
Tm (0.0000, 0.0000, 0.5000)
Pd (0.2500, 0.2500, 0.7500)
Au (0.2500, 0.2500, 0.2500)

***

Version x
VASP calculation (PBE) on a relaxed structure of NdTmPdAu.

Lattice parameters (Å, degrees): 4.7443 3.7927 10.6915 90.00 90.00 90.00
Space group Amm2 (No. 38)
Symmetry-distinct sites (fractional):
Nd (0.0000, 0.0000, 0.0000)
Tm (0.5000, 0.0000, 0.2762)
Pd (0.0000, 0.0000, 0.7280)
Au (0.5000, 0.0000, 0.5577)

***

Energetically preferred structure: version x | next structure: +43 meV per atom